[1]
An optimized crystal structure of Y2AgRu, computed with GGA-PBEsol.

Geometry as CIF:
```
data_Y2AgRu
_cell_length_a 3.389
_cell_length_b 3.389
_cell_length_c 7.277
_cell_angle_alpha 90.00
_cell_angle_beta 90.00
_cell_angle_gamma 90.00
_symmetry_space_group_name_H-M 'P 4/m m m'
_symmetry_Int_Tables_number 123
_symmetry_space_group_name_Hall '-P 4 2'
loop_
_atom_site_label
_atom_site_type_symbol
_atom_site_fract_x
_atom_site_fract_y
_atom_site_fract_z
Y1 Y 0.000 0.000 0.226
Ag1 Ag 0.500 0.500 0.500
Ru1 Ru 0.500 0.500 0.000
```

Calculated values
The raw total energy comes out at -7.15 eV/atom. The calculation puts the energy of formation from the pure elements at -370 meV/atom.

[2]
An optimized crystal structure of ZrRe2Cl, computed with GGA-PBEsol.

Geometry as CIF:
```
data_ZrRe2Cl
_cell_length_a 6.391
_cell_length_b 6.391
_cell_length_c 6.391
_cell_angle_alpha 90.00
_cell_angle_beta 90.00
_cell_angle_gamma 90.00
_symmetry_space_group_name_H-M 'F m -3 m'
_symmetry_Int_Tables_number 225
_symmetry_space_group_name_Hall '-F 4 2 3'
loop_
_atom_site_label
_atom_site_type_symbol
_atom_site_fract_x
_atom_site_fract_y
_atom_site_fract_z
Zr1 Zr 0.000 0.000 0.000
Re1 Re 0.250 0.250 0.250
Cl1 Cl 0.000 0.000 0.500
```

Calculated values
The value obtained for the formation energy without anion corrections is 1.081 eV per atom. For the energy relative to the lowest polymorph listed for this composition, the calculation gives 1.1701 eV per atom. The raw total energy comes out at -8.36 eV/atom.

What is the formula in the first record? Y2AgRu